Computed, not measured: BaSc2Tc after structural relaxation at the PBE-GGA level of DFT.

Results
N(E_F) = 1.10 states/eV per atom
ρ = 4.9 g cm⁻³
energy relative to the elements = 21 kJ per mole of atoms

abc: 3.711 3.711 8.066
angles: 90.00 90.00 90.00
Fractional coordinates of all 4 atoms:
1 Ba 0.000 0.000 0.000
2 Sc 0.000 0.000 0.590
3 Sc 0.500 0.500 0.377
4 Tc 0.500 0.500 0.694